Entry from Alexandria: V4Cr2Tc3 after structural relaxation (PBE).

Unit cell a=4.6742 b=7.3277 c=7.3277 alpha=78.86 beta=89.99 gamma=89.99
With the nearest neighbours (Å) after each atom.
Positions (direct):
Cr1 0.5002 0.1546 0.5113  1 Cr 2.30, 1 V 2.44
Cr2 0.0002 0.5113 0.1546  1 Cr 2.30, 1 V 2.44
Cr3 0.9998 0.4887 0.8454  1 Cr 2.30, 1 V 2.44
Cr4 0.4998 0.8454 0.4887  1 Cr 2.30, 1 V 2.44
V1 0.9998 0.8286 0.9740  1 Tc 2.42, 4 V 2.43-2.70, 1 Cr 2.44
V2 0.9997 0.8258 0.6424  1 V 2.43, 2 Tc 2.48-2.60, 3 Cr 2.59-2.63
V3 0.4997 0.6424 0.8258  1 V 2.43, 2 Tc 2.48-2.60, 3 Cr 2.59-2.63
V4 0.5003 0.3576 0.1742  1 V 2.43, 2 Tc 2.48-2.60, 3 Cr 2.59-2.63
V5 0.0003 0.1742 0.3576  1 V 2.43, 2 Tc 2.48-2.60, 3 Cr 2.59-2.63
V6 0.5002 0.0260 0.1714  1 Tc 2.42, 4 V 2.43-2.70, 1 Cr 2.44
V7 0.4998 0.9740 0.8286  1 Tc 2.42, 4 V 2.43-2.70, 1 Cr 2.44
V8 0.0002 0.1714 0.0260  1 Tc 2.42, 4 V 2.43-2.70, 1 Cr 2.44
Tc1 0.7500 0.5001 0.4999  2 Tc 2.34
Tc2 0.5000 0.6973 0.1664  3 V 2.42-2.60
Tc3 0.5000 0.3027 0.8336  3 V 2.42-2.60
Tc4 0.0000 0.8336 0.3027  3 V 2.42-2.60
Tc5 0.2500 0.4999 0.5001  2 Tc 2.34
Tc6 0.0000 0.1664 0.6973  3 V 2.42-2.60

Results
Space group: Cccm, No. 66
ΔH_f (0 K) in eV/atom: 0.02
Energy in eV per atom: -9.63

Entry from Alexandria: TbCe2Ru2 after structural relaxation (PBE).

Unit cell a=3.8225 b=6.7701 c=9.8070 alpha=90.00 beta=90.00 gamma=106.40
With the nearest neighbours (Å) after each atom.
Positions (direct):
Ce1 0.0941 0.1883 0.6435  4 Ru 2.63-2.86
Ce2 0.9059 0.8117 0.1435  4 Ru 2.63-2.86
Ce3 0.6474 0.2949 0.3204  4 Ru 2.65-2.84
Ce4 0.3526 0.7051 0.8204  4 Ru 2.65-2.84
Tb1 0.6436 0.2872 0.9596  5 Ru 2.91-3.18
Tb2 0.3564 0.7128 0.4596  5 Ru 2.91-3.18
Ru1 0.9821 0.9641 0.8946  4 Ce 2.63-2.86, 2 Tb 2.91
Ru2 0.0179 0.0359 0.3946  4 Ce 2.63-2.86, 2 Tb 2.91
Ru3 0.2608 0.5217 0.1672  4 Ce 2.69-2.84
Ru4 0.7392 0.4783 0.6672  4 Ce 2.69-2.84

Results
Space group: Cmc2_1, No. 36
ΔH_f (0 K) in eV/atom: -0.31
Energy in eV per atom: -7.32

Entry from Alexandria: TaCuRePt2 after structural relaxation (PBE).

Unit cell a=4.4564 b=4.4971 c=4.4564 alpha=90.00 beta=90.00 gamma=90.00
With the nearest neighbours (Å) after each atom.
Positions (direct):
Cu1 0.0000 0.0000 0.0000  4 Pt 2.23, 2 Ta 2.25
Re1 0.5000 0.5000 0.5000  4 Ta 3.15, 8 Pt 3.17
Ta1 0.0000 0.5000 0.0000  2 Cu 2.25
Pt1 0.5000 0.0000 0.0000  2 Cu 2.23
Pt2 0.0000 0.0000 0.5000  2 Cu 2.23

Results
Space group: P4/mmm, No. 123
ΔH_f (0 K) in eV/atom: 1.27
Energy in eV per atom: -6.83

Entry from Alexandria: Pu2GePb after structural relaxation (PBE).

Unit cell a=4.5276 b=4.6930 c=4.6930 alpha=90.00 beta=90.00 gamma=90.00
With the nearest neighbours (Å) after each atom.
Positions (direct):
Pu1 0.0000 0.0000 0.5000  4 Ge 3.26, 4 Pb 3.26, 4 Pu 3.32
Pu2 0.0000 0.5000 0.0000  4 Pb 3.26, 4 Ge 3.26, 4 Pu 3.32
Ge1 0.5000 0.5000 0.5000  8 Pu 3.26, 4 Pb 3.32
Pb1 0.5000 0.0000 0.0000  8 Pu 3.26, 4 Ge 3.32

Results
Space group: P4/mmm, No. 123
ΔH_f (0 K) in eV/atom: -0.25
Energy in eV per atom: -9.49